Computed, not measured: a geometry-optimized La2MnCd structure at the GGA-PBE level of DFT.

Uncorrected energy ... -4.9080 eV/atom
V ... 28.860 Å³ per atom
D(E_F) ... 4.4 states/eV/cell

a b c (Å): 3.7707 4.9830 6.6314
angles (deg): 67.90 90.00 90.00
Last column: nearest neighbours and their distance in Å.
Atoms (fractional coordinates):
La (0.5000, 0.2661, 0.3430)  4 Mn 3.18, 1 Cd 3.53
La (0.0000, 0.9635, 0.9478)  1 Mn 3.02, 4 Cd 3.31
Cd (0.5000, 0.5530, 0.7692)  2 Mn 2.76
Mn (0.0000, 0.7174, 0.4400)  2 Cd 2.76, 1 La 3.02